! ErZrTl | Alexandria via LeMat-Bulk | PBE-GGA | optimized geometry; values from VASP
&SYSTEM
  ibrav = 0, nat = 6, ntyp = 3
/
ATOMIC_SPECIES
Er 167.26 Er.upf
Tl 204.38 Tl.upf
Zr 91.22 Zr.upf
CELL_PARAMETERS angstrom
-2.337 -1.186 2.406
0.167 -3.249 -1.439
9.235 -2.873 7.554
ATOMIC_POSITIONS crystal
Er 0.872 0.291 0.156
Er 0.372 0.791 0.357
Tl 0.872 0.291 0.526
Zr 0.372 0.791 0.680
Zr 0.872 0.291 0.832
Tl 0.373 0.791 0.986
! E above lowest polymorph ... 0.0668 eV per atom
! DOS(E_F) ... 5.05 states/eV per cell
! Formation energy from the elements ... -0.129 eV per atom